# 1
! La2CeCu, optimized geometry, DFT PBE; values from VASP
! symmetry	P4/mmm (123)
! E above lowest polymorph	0.0	meV/atom
! total magnetic moment	0.04	μB per formula unit
! formation enthalpy at 0 K	-0.02	eV/atom
! DFT total energy	-19.96	eV/f.u.
&SYSTEM
  ibrav = 0, nat = 4, ntyp = 3
/
ATOMIC_SPECIES
Cu 63.55 Cu.upf
Ce 140.12 Ce.upf
La 138.91 La.upf
CELL_PARAMETERS angstrom
-3.0576 -1.9818 0.2109
0.4371 -1.0436 -3.4699
4.4424 -6.5836 2.5397
ATOMIC_POSITIONS angstrom
Cu -1.3102 -1.5127 -1.6295
Ce 0.9110 -4.8045 -0.3597
La 3.4759 -5.1513 1.9872
La 0.9665 -1.4323 0.5525


# 2
! LaCe2Cu4, optimized geometry, DFT PBE; values from VASP
! symmetry	R-3m (166)
! total magnetic moment	0.00	μB per formula unit
! formation enthalpy at 0 K	-0.12	eV/atom
! DFT total energy	-34.05	eV/f.u.
&SYSTEM
  ibrav = 0, nat = 7, ntyp = 3
/
ATOMIC_SPECIES
Cu 63.55 Cu.upf
Ce 140.12 Ce.upf
La 138.91 La.upf
CELL_PARAMETERS angstrom
4.2125 0.0000 0.9571
1.9975 3.7088 0.9571
0.1237 0.0739 9.2040
ATOMIC_POSITIONS angstrom
Cu 3.6913 2.2045 3.2509
Cu 4.7133 2.8149 8.5014
Cu 1.6204 0.9677 2.6169
Cu 2.6424 1.5781 7.8673
Ce 5.4019 3.2261 5.4709
Ce 0.9318 0.5565 5.6474
La 0.0000 0.0000 0.0000


# 3
! LaCeCuNi, optimized geometry, DFT PBE; values from VASP
! symmetry	F-43m (216)
! total magnetic moment	0.62	μB per formula unit
! formation enthalpy at 0 K	-0.13	eV/atom
! DFT total energy	-21.25	eV/f.u.
&SYSTEM
  ibrav = 0, nat = 4, ntyp = 4
/
ATOMIC_SPECIES
Ni 58.69 Ni.upf
Cu 63.55 Cu.upf
Ce 140.12 Ce.upf
La 138.91 La.upf
CELL_PARAMETERS angstrom
-1.4926 3.4489 -3.2988
-4.3608 -0.5441 -2.3857
-3.8409 3.0092 1.0940
ATOMIC_POSITIONS angstrom
Ni -7.2707 4.4354 -3.4429
Cu -2.4236 1.4785 -1.1476
Ce 0.0000 0.0000 0.0000
La -4.8471 2.9570 -2.2953